1.
# Tb3Al8Pd3 | Alexandria via LeMat-Bulk | PBE | relaxed
data_Tb3Al8Pd3
_chemical_formula_sum 'Tb6 Al16 Pd6'
_cell_length_a 15.730
_cell_length_b 4.429
_cell_length_c 9.208
_cell_angle_alpha 90.00
_cell_angle_beta 125.30
_cell_angle_gamma 90.00
_symmetry_space_group_name_H-M 'C 1 2/m 1'
_symmetry_Int_Tables_number 12
loop_
_symmetry_equiv_pos_as_xyz
'x,y,z'
'-x,-y,-z'
'-x,y,-z'
'x,-y,z'
'x+1/2,y+1/2,z'
'-x+1/2,-y+1/2,-z'
'-x+1/2,y+1/2,-z'
'x+1/2,-y+1/2,z'
loop_
_atom_site_label
_atom_site_fract_x
_atom_site_fract_y
_atom_site_fract_z
_atom_site_occupancy
Tb1 0.000 0.000 0.000 1
Tb2 0.213 0.500 0.705 1
Al1 0.005 0.500 0.673 1
Al2 0.135 0.000 0.425 1
Al3 0.149 0.000 0.864 1
Al4 0.152 0.500 0.283 1
Pd1 0.000 0.000 0.500 1
Pd2 0.149 0.500 0.004 1
# **ΔE to the lowest computed polymorph**: 0 meV per atom
# **Formation enthalpy at 0 K**: -0.7007 eV/atom

2.
# K9Rb6Ag | Alexandria via LeMat-Bulk | PBE | relaxed
data_K9Rb6Ag
_chemical_formula_sum 'K18 Rb12 Ag2'
_cell_length_a 10.826
_cell_length_b 10.826
_cell_length_c 20.505
_cell_angle_alpha 90.00
_cell_angle_beta 90.00
_cell_angle_gamma 90.00
_symmetry_space_group_name_H-M 'I 4/m'
_symmetry_Int_Tables_number 87
_symmetry_space_group_name_Hall '-I 4'
loop_
_atom_site_label
_atom_site_fract_x
_atom_site_fract_y
_atom_site_fract_z
_atom_site_occupancy
K1 0.000 0.000 0.000 1
K2 0.096 0.301 0.169 1
Rb1 0.000 0.000 0.327 1
Rb2 0.112 0.307 0.500 1
Ag1 0.000 0.000 0.500 1
# **Formation enthalpy at 0 K**: 0.0208 eV/atom

3.
Tb7Pb4N: relaxed, PBE.

The structure in CIF format:
```
data_Tb7Pb4N
_chemical_formula_sum 'Tb14 Pb8 N2'
_cell_length_a 16.494
_cell_length_b 5.052
_cell_length_c 11.217
_cell_angle_alpha 90.00
_cell_angle_beta 128.32
_cell_angle_gamma 90.00
_symmetry_space_group_name_H-M 'C 1 2/m 1'
_symmetry_Int_Tables_number 12
loop_
_symmetry_equiv_pos_as_xyz
'x,y,z'
'-x,-y,-z'
'-x,y,-z'
'x,-y,z'
'x+1/2,y+1/2,z'
'-x+1/2,-y+1/2,-z'
'-x+1/2,y+1/2,-z'
'x+1/2,-y+1/2,z'
loop_
_atom_site_label
_atom_site_fract_x
_atom_site_fract_y
_atom_site_fract_z
_atom_site_occupancy
Tb1 0.000 0.000 0.000 1
Tb2 0.063 0.500 0.239 1
Tb3 0.136 0.000 0.544 1
Tb4 0.218 0.500 0.860 1
Pb1 0.081 0.000 0.785 1
Pb2 0.221 0.000 0.346 1
N1 0.000 0.500 0.000 1
```

4.
Cr2PCCl: relaxed, PBE.

The structure in CIF format:
```
data_Cr2PCCl
_chemical_formula_sum 'Cr2 P1 C1 Cl1'
_cell_length_a 4.287
_cell_length_b 4.287
_cell_length_c 3.422
_cell_angle_alpha 90.00
_cell_angle_beta 90.00
_cell_angle_gamma 90.00
_symmetry_space_group_name_H-M 'P 4/m m m'
_symmetry_Int_Tables_number 123
_symmetry_space_group_name_Hall '-P 4 2'
loop_
_atom_site_label
_atom_site_fract_x
_atom_site_fract_y
_atom_site_fract_z
_atom_site_occupancy
Cr1 0.000 0.500 0.000 1
P1 0.000 0.000 0.500 1
C1 0.500 0.500 0.500 1
Cl1 0.500 0.500 0.000 1
```

5.
# Li5La12Bi3 | Alexandria via LeMat-Bulk | PBE | relaxed
data_Li5La12Bi3
_chemical_formula_sum 'Li40 La96 Bi24'
_cell_length_a 18.215
_cell_length_b 18.215
_cell_length_c 18.215
_cell_angle_alpha 90.00
_cell_angle_beta 90.00
_cell_angle_gamma 90.00
_symmetry_space_group_name_H-M 'I a -3 d'
_symmetry_Int_Tables_number 230
_symmetry_space_group_name_Hall '-I 4bd 2c 3'
loop_
_atom_site_label
_atom_site_fract_x
_atom_site_fract_y
_atom_site_fract_z
_atom_site_occupancy
Li1 0.000 0.000 0.000 1
Li2 0.000 0.250 0.375 1
La1 0.016 0.068 0.650 1
Bi1 0.000 0.250 0.125 1
# **Formation enthalpy at 0 K**: 0.2049 eV/atom

6.
# NbCdBiPt2 | Alexandria via LeMat-Bulk | PBE | relaxed
data_NbCdBiPt2
_chemical_formula_sum 'Nb1 Cd1 Bi1 Pt2'
_cell_length_a 4.933
_cell_length_b 4.933
_cell_length_c 5.074
_cell_angle_alpha 90.00
_cell_angle_beta 90.00
_cell_angle_gamma 90.00
_symmetry_space_group_name_H-M 'P 4/m m m'
_symmetry_Int_Tables_number 123
_symmetry_space_group_name_Hall '-P 4 2'
loop_
_atom_site_label
_atom_site_fract_x
_atom_site_fract_y
_atom_site_fract_z
_atom_site_occupancy
Nb1 0.000 0.000 0.000 1
Cd1 0.000 0.000 0.500 1
Bi1 0.500 0.500 0.000 1
Pt1 0.000 0.500 0.500 1
# **Formation enthalpy at 0 K**: 1.1822 eV/atom

7.
# BaMgRe | Alexandria via LeMat-Bulk | PBE | relaxed
data_BaMgRe
_chemical_formula_sum 'Ba1 Mg1 Re1'
_cell_length_a 5.2723
_cell_length_b 5.2723
_cell_length_c 3.0217
_cell_angle_alpha 90.00
_cell_angle_beta 90.00
_cell_angle_gamma 120.00
_symmetry_space_group_name_H-M 'P 3 m 1'
_symmetry_Int_Tables_number 156
loop_
_symmetry_equiv_pos_as_xyz
'x,y,z'
'-y,x-y,z'
'-x+y,-x,z'
'-y,-x,z'
'-x+y,y,z'
'x,x-y,z'
loop_
_atom_site_label
_atom_site_fract_x
_atom_site_fract_y
_atom_site_fract_z
_atom_site_occupancy
Ba1 0.0000 0.0000 0.0000 1
Mg1 0.3333 0.6667 0.4987 1
Re1 0.6667 0.3333 0.5018 1
# **ΔE to the lowest computed polymorph**: 146 meV per atom
# **Formation enthalpy at 0 K**: 1.0289 eV/atom

8.
# Sc2FeCl | Alexandria via LeMat-Bulk | PBE | relaxed
data_Sc2FeCl
_chemical_formula_sum 'Sc4 Fe2 Cl2'
_cell_length_a 4.392
_cell_length_b 4.429
_cell_length_c 9.418
_cell_angle_alpha 90.00
_cell_angle_beta 90.00
_cell_angle_gamma 90.00
_symmetry_space_group_name_H-M 'C m m 2'
_symmetry_Int_Tables_number 35
loop_
_symmetry_equiv_pos_as_xyz
'x,y,z'
'-x,-y,z'
'-x,y,z'
'x,-y,z'
'x+1/2,y+1/2,z'
'-x+1/2,-y+1/2,z'
'-x+1/2,y+1/2,z'
'x+1/2,-y+1/2,z'
loop_
_atom_site_label
_atom_site_fract_x
_atom_site_fract_y
_atom_site_fract_z
_atom_site_occupancy
Sc1 0.000 0.000 0.000 1
Sc2 0.000 0.500 0.274 1
Fe1 0.000 0.000 0.455 1
Cl1 0.000 0.500 0.838 1
# **ΔE to the lowest computed polymorph**: 486 meV per atom

| no. | VASP energy (eV/atom) | density (g/cm³) | total moment (μB/f.u.) |
| --- | --- | --- | --- |
| 1 | -4.944 | 6.42 | 0.0 |
| 2 | -1.138 | 1.34 | 0.0 |
| 3 | -5.089 | 8.85 | 0.5 |
| 4 | -5.332 | 4.82 | 0.0 |
| 5 | -3.812 | 5.12 | 4.8 |
| 6 | -4.207 | 10.82 | 0.0 |
| 7 | -4.293 | 7.94 | 0.0 |
| 8 | -5.963 | 3.28 | 3.0 |